# Y2ReN

An optimized crystal structure of Y2ReN (PBE-GGA, Alexandria).

Lattice parameters (Å, degrees): 6.041 6.041 6.041 111.66 111.66 105.17
Sites, in units of the cell vectors:
Y: 0.047 0.625 0.922
Y: 0.375 0.297 0.422
Y: 0.703 0.125 0.078
Y: 0.875 0.953 0.578
Re: 0.250 0.750 0.500
Re: 0.500 0.500 0.000
N: 0.000 0.000 0.000
N: 0.750 0.250 0.500

Results
The density of states at the Fermi level comes out at 0.762 states/eV/atom. Its crystal system is tetragonal. For the total magnetization, the calculation gives 0.500 μB per atom. The formation energy from raw total energies comes out at 17.17 kJ/mol of atoms.